## w
# Te4Ru GGA-PBE relaxed
# - Density: 7.25 g cm⁻³
# - Spin magnetization: 0.00 μB per cell
data_Te4Ru
_space_group_name_H-M_alt 'I m -3 m'
_space_group_IT_number 229
_space_group_name_Hall '-I 4 2 3'
_cell_length_a 6.544
_cell_length_b 6.544
_cell_length_c 6.544
_cell_angle_alpha 90.00
_cell_angle_beta 90.00
_cell_angle_gamma 90.00
loop_
_atom_site_label
_atom_site_fract_x
_atom_site_fract_y
_atom_site_fract_z
Te1 0.250 0.250 0.250
Ru1 0.000 0.000 0.000


## x
# Te4Ru GGA-PBE relaxed
# - Density: 7.13 g cm⁻³
# - Spin magnetization: 0.68 μB per cell
data_Te4Ru
_space_group_name_H-M_alt 'P m -3 m'
_space_group_IT_number 221
_space_group_name_Hall '-P 4 2 3'
_cell_length_a 5.222
_cell_length_b 5.222
_cell_length_c 5.222
_cell_angle_alpha 90.00
_cell_angle_beta 90.00
_cell_angle_gamma 90.00
loop_
_atom_site_label
_atom_site_fract_x
_atom_site_fract_y
_atom_site_fract_z
Te1 0.000 0.000 0.000
Te2 0.000 0.500 0.500
Ru1 0.500 0.500 0.500


Which of them is the most stable, and which is the least stable? w and x, in that order.


## w
# Te4Ru GGA-PBE relaxed
# - Density: 6.53 g cm⁻³
# - Spin magnetization: 1.92 μB per cell
data_Te4Ru
_space_group_name_H-M_alt 'I 4/m m m'
_space_group_IT_number 139
_space_group_name_Hall '-I 4 2'
_cell_length_a 3.980
_cell_length_b 3.980
_cell_length_c 19.622
_cell_angle_alpha 90.00
_cell_angle_beta 90.00
_cell_angle_gamma 90.00
loop_
_atom_site_label
_atom_site_fract_x
_atom_site_fract_y
_atom_site_fract_z
Te1 0.000 0.000 0.069
Te2 0.000 0.500 0.250
Ru1 0.000 0.000 0.500


## x
# Te4Ru GGA-PBE relaxed
# - Density: 6.90 g cm⁻³
# - Spin magnetization: 0.00 μB per cell
data_Te4Ru
_space_group_name_H-M_alt 'I 4/m'
_space_group_IT_number 87
_space_group_name_Hall '-I 4'
_cell_length_a 9.016
_cell_length_b 9.016
_cell_length_c 3.618
_cell_angle_alpha 90.00
_cell_angle_beta 90.00
_cell_angle_gamma 90.00
loop_
_atom_site_label
_atom_site_fract_x
_atom_site_fract_y
_atom_site_fract_z
Te1 0.090 0.217 0.000
Ru1 0.000 0.000 0.500


Which of them is the most stable, and which is the least stable? x and w, in that order.


## w
# TeRu3 GGA-PBE relaxed
# - Density: 11.50 g cm⁻³
# - Spin magnetization: 0.00 μB per cell
data_TeRu3
_space_group_name_H-M_alt 'P 63/m m c'
_space_group_IT_number 194
_space_group_name_Hall '-P 6c 2c'
_cell_length_a 5.7297
_cell_length_b 5.7297
_cell_length_c 4.3748
_cell_angle_alpha 90.00
_cell_angle_beta 90.00
_cell_angle_gamma 120.00
loop_
_atom_site_label
_atom_site_fract_x
_atom_site_fract_y
_atom_site_fract_z
Te1 0.3333 0.6667 0.2500
Ru1 0.1644 0.3289 0.7500


## x
# TeRu3 GGA-PBE relaxed
# - Density: 10.71 g cm⁻³
# - Spin magnetization: 1.93 μB per cell
data_TeRu3
_space_group_name_H-M_alt 'C m m m'
_space_group_IT_number 65
_space_group_name_Hall '-C 2 2'
_cell_length_a 2.908
_cell_length_b 4.962
_cell_length_c 9.260
_cell_angle_alpha 90.00
_cell_angle_beta 90.00
_cell_angle_gamma 90.00
loop_
_atom_site_label
_atom_site_fract_x
_atom_site_fract_y
_atom_site_fract_z
Te1 0.000 0.000 0.000
Ru1 0.000 0.000 0.500
Ru2 0.000 0.500 0.266


## y
# TeRu3 GGA-PBE relaxed
# - Density: 11.22 g cm⁻³
# - Spin magnetization: 9.89 μB per cell
data_TeRu3
_space_group_name_H-M_alt 'F m -3 m'
_space_group_IT_number 225
_space_group_name_Hall '-F 4 2 3'
_cell_length_a 6.342
_cell_length_b 6.342
_cell_length_c 6.342
_cell_angle_alpha 90.00
_cell_angle_beta 90.00
_cell_angle_gamma 90.00
loop_
_atom_site_label
_atom_site_fract_x
_atom_site_fract_y
_atom_site_fract_z
Te1 0.000 0.000 0.000
Ru1 0.000 0.000 0.500
Ru2 0.250 0.250 0.250


Which of them is the most stable, and which is the least stable? w and x, in that order.